# 1
The following is a DFT calculation (GGA-PBE) of a relaxed PmNF crystal.

It has space group I4/mmm (No. 139), with a = 3.251 Å, b = 3.251 Å, c = 14.984 Å, α = 90.00°, β = 90.00° and γ = 90.00°. The distinct sites, in fractional coordinates, are Pm at (0.000, 0.000, 0.124), N at (0.000, 0.000, 0.452) and F at (0.000, 0.000, 0.289).



# 2
The following is a DFT calculation (GGA-PBE) of a relaxed Pm12N5F3 crystal.

It has space group Ia-3d (No. 230), with a = 15.464 Å, b = 15.464 Å, c = 15.464 Å, α = 90.00°, β = 90.00° and γ = 90.00°. The distinct sites, in fractional coordinates, are Pm at (0.033, 0.054, 0.649), N at (0.000, 0.000, 0.000), N at (0.000, 0.250, 0.375) and F at (0.000, 0.250, 0.125).



# 3
The following is a DFT calculation (GGA-PBE) of a relaxed Pm3N2F crystal.

It has space group Cmcm (No. 63), with a = 3.508 Å, b = 12.459 Å, c = 11.227 Å, α = 90.00°, β = 90.00° and γ = 90.00°. The distinct sites, in fractional coordinates, are Pm at (0.000, 0.107, 0.085), Pm at (0.000, 0.388, 0.250), N at (0.000, 0.002, 0.750), N at (0.000, 0.500, 0.000) and F at (0.000, 0.287, 0.750).



no.,formation energy from raw total energies (eV per atom)
1,-1.978
2,-1.070
3,-1.614